[1]
AcThAg after structural relaxation, computed with PBE-GGA.

Cell lengths 5.035, 3.880, 9.985 Å; angles 78.80, 90.00, 90.00 degrees
Fractional positions:
Ac 0.750 0.901 0.197
Ac 0.250 0.099 0.803
Ag 0.250 0.456 0.087
Ag 0.750 0.544 0.913
Th 0.250 0.287 0.426
Th 0.750 0.713 0.574

Raw total energy   -29.22 eV for the cell shown
Energy of formation   -0.08 eV/atom
Total magnetic moment   0.00 Bohr magnetons per cell

[2]
Ti3TeO after structural relaxation, computed with PBE-GGA.

Cell lengths 4.201, 4.201, 4.201 Å; angles 90.00, 90.00, 90.00 degrees
Last column: magnetic moment on the atom in μB.
Fractional positions:
Ti 0.500 0.000 0.000  0.32
Ti 0.000 0.500 0.000  0.32
Ti 0.000 0.000 0.500  0.25
Te 0.500 0.500 0.500  -0.01
O 0.000 0.000 0.000  0.00

Raw total energy   -37.24 eV for the cell shown
Total magnetic moment   1.11 Bohr magnetons per cell